Entry 1:
{
  "formula": "Hf2ScGa6",
  "functional": "PBE-GGA",
  "state": "relaxed",
  "lattice": [[-3.684, 0.925, -1.530], [-1.782, -5.719, -4.646], [-4.327, -6.097, 1.255]],
  "species": ["Ga", "Hf", "Ga", "Hf", "Ga", "Ga", "Ga", "Sc", "Ga"],
  "fractional_positions": [[0.309, 0.396, 0.986], [0.882, 0.618, 0.618], [0.691, 0.014, 0.604], [0.118, 0.382, 0.382], [0.500, 0.298, 0.702], [0.309, 0.986, 0.396], [0.691, 0.604, 0.014], [0.000, 0.000, 0.000], [0.500, 0.702, 0.298]],
  "crystal_system": "orthorhombic",
  "e_above_lowest_polymorph_mev_per_atom": 38.6,
  "vol_a3_per_cell": 172.7,
  "m_tot_mub_per_cell": 0.000,
  "dft_energy_ev_per_atom": -5.28,
  "delta_e_f_ev_per_atom": -0.3479
}

***

Entry 2:
{
  "formula": "HfSc2Ga",
  "functional": "PBE-GGA",
  "state": "relaxed",
  "lattice": [[3.213, 0.000, 0.000], [1.607, 2.783, 0.000], [1.607, 0.928, 9.729]],
  "species": ["Sc", "Hf", "Sc", "Ga"],
  "fractional_positions": [[0.255, 0.255, 0.235], [0.500, 0.500, 0.500], [0.745, 0.745, 0.765], [0.000, 0.000, 0.000]],
  "crystal_system": "trigonal",
  "vol_a3_per_cell": 87.0,
  "m_tot_mub_per_cell": 0.000,
  "dft_energy_ev_per_atom": -6.60,
  "delta_e_f_ev_per_atom": -0.1879
}

***

Entry 3:
{
  "formula": "HfSc2Ga6",
  "functional": "PBE-GGA",
  "state": "relaxed",
  "lattice": [[3.196, 0.000, 0.000], [0.000, 6.551, -3.782], [0.000, 0.000, 7.565]],
  "species": ["Ga", "Sc", "Sc", "Ga", "Ga", "Hf", "Ga", "Ga", "Ga"],
  "fractional_positions": [[0.500, 0.334, 0.334], [0.000, 0.667, 0.333], [0.000, 0.333, 0.667], [0.500, 0.334, 0.000], [0.500, 0.000, 0.666], [0.000, 0.000, 0.000], [0.500, 0.000, 0.334], [0.500, 0.666, 0.000], [0.500, 0.666, 0.666]],
  "crystal_system": "hexagonal",
  "vol_a3_per_cell": 158.4,
  "m_tot_mub_per_cell": 0.000,
  "dft_energy_ev_per_atom": -5.01,
  "delta_e_f_ev_per_atom": -0.4772
}

***

Entry 4:
{
  "formula": "Hf2Sc2Ga",
  "functional": "PBE-GGA",
  "state": "relaxed",
  "lattice": [[7.204, 0.000, 0.000], [0.000, 7.204, 0.000], [0.000, 0.000, 4.401]],
  "species": ["Sc", "Sc", "Hf", "Sc", "Hf", "Hf", "Hf", "Sc", "Ga", "Ga"],
  "fractional_positions": [[0.653, 0.847, 0.500], [0.153, 0.653, 0.500], [0.144, 0.356, 0.000], [0.347, 0.153, 0.500], [0.856, 0.644, 0.000], [0.644, 0.144, 0.000], [0.356, 0.856, 0.000], [0.847, 0.347, 0.500], [0.000, 0.000, 0.000], [0.500, 0.500, 0.000]],
  "crystal_system": "tetragonal",
  "e_above_lowest_polymorph_mev_per_atom": 0.0,
  "vol_a3_per_cell": 228.4,
  "m_tot_mub_per_cell": 0.000,
  "dft_energy_ev_per_atom": -7.11,
  "delta_e_f_ev_per_atom": 0.0118
}

***

Entry 5:
{
  "formula": "HfScGa2",
  "functional": "PBE-GGA",
  "state": "relaxed",
  "lattice": [[-0.946, -2.899, -0.188], [2.905, -0.942, -0.084], [0.057, -0.535, 7.969]],
  "species": ["Ga", "Hf", "Ga", "Sc"],
  "fractional_positions": [[0.000, 0.000, 0.749], [0.500, 0.500, 0.500], [0.000, 0.000, 0.251], [0.500, 0.500, 0.000]],
  "crystal_system": "tetragonal",
  "e_above_lowest_polymorph_mev_per_atom": 52.8,
  "vol_a3_per_cell": 74.6,
  "m_tot_mub_per_cell": 0.234,
  "dft_energy_ev_per_atom": -6.07,
  "delta_e_f_ev_per_atom": -0.4896
}

***

Entry 6:
{
  "formula": "Hf3ScGa4",
  "functional": "PBE-GGA",
  "state": "relaxed",
  "lattice": [[5.693, 0.000, 0.000], [0.000, 5.694, 0.000], [0.000, 0.000, 9.216]],
  "species": ["Ga", "Ga", "Hf", "Ga", "Ga", "Hf", "Sc", "Ga", "Hf", "Hf", "Hf", "Ga", "Hf", "Ga", "Sc", "Ga"],
  "fractional_positions": [[0.702, 0.012, 0.500], [0.677, 0.512, 0.000], [0.703, 0.014, 0.000], [0.439, 0.748, 0.236], [0.939, 0.252, 0.264], [0.940, 0.753, 0.750], [0.174, 0.484, 0.000], [0.177, 0.488, 0.500], [0.440, 0.247, 0.750], [0.940, 0.753, 0.250], [0.203, 0.986, 0.500], [0.202, 0.988, 0.000], [0.440, 0.247, 0.250], [0.439, 0.748, 0.764], [0.674, 0.516, 0.500], [0.939, 0.252, 0.736]],
  "crystal_system": "orthorhombic",
  "vol_a3_per_cell": 298.7,
  "m_tot_mub_per_cell": 0.000,
  "dft_energy_ev_per_atom": -6.45,
  "delta_e_f_ev_per_atom": -0.4131
}